[1]
Material: RbCo2H8
Method: DFT, PBE
State: optimized geometry

Summary:
Electronic total energy ... -3.771 eV per atom
V ... 9.06 Å³/atom
Spin magnetization ... 1.55 μB per cell

a = 4.795 Å, b = 7.729 Å, c = 5.378 Å
α = 90.00°, β = 90.00°, γ = 90.00°
Space group Cmm2 (No. 35)
Symmetry-distinct sites (fractional):
Rb  0.000  0.000  0.000 (multiplicity 2)
Co  0.000  0.329  0.509 (multiplicity 4)
H  0.000  0.317  0.784 (multiplicity 4)
H  0.000  0.500  0.318 (multiplicity 2)
H  0.000  0.500  0.685 (multiplicity 2)
H  0.163  0.147  0.489 (multiplicity 8)

[2]
Material: Rb2CoH
Method: DFT, PBE
State: optimized geometry

Summary:
V ... 33.82 Å³/atom
Spin magnetization ... 8.00 μB per cell
Relative energy among the computed polymorphs ... 149 meV per atom

a = 8.149 Å, b = 8.149 Å, c = 8.149 Å
α = 90.00°, β = 90.00°, γ = 90.00°
Space group Fm-3m (No. 225)
Symmetry-distinct sites (fractional):
Rb  0.250  0.250  0.250 (multiplicity 8)
Co  0.000  0.000  0.000 (multiplicity 4)
H  0.000  0.000  0.500 (multiplicity 4)

[3]
Material: RbCoH2
Method: DFT, PBE
State: optimized geometry

Summary:
V ... 16.39 Å³/atom
Spin magnetization ... 10.46 μB per cell
Relative energy among the computed polymorphs ... 951 meV per atom

a = 6.401 Å, b = 6.401 Å, c = 6.401 Å
α = 90.00°, β = 90.00°, γ = 90.00°
Space group Fm-3m (No. 225)
Symmetry-distinct sites (fractional):
Rb  0.000  0.000  0.000 (multiplicity 4)
Co  0.000  0.000  0.500 (multiplicity 4)
H  0.250  0.250  0.250 (multiplicity 8)

[4]
Material: RbCo3H
Method: DFT, PBE
State: optimized geometry

Summary:
V ... 23.01 Å³/atom
Spin magnetization ... 4.89 μB per cell
Relative energy among the computed polymorphs ... 1793 meV per atom

a = 4.863 Å, b = 4.863 Å, c = 4.863 Å
α = 90.00°, β = 90.00°, γ = 90.00°
Space group Pm-3m (No. 221)
Symmetry-distinct sites (fractional):
Rb  0.000  0.000  0.000 (multiplicity 1)
Co  0.000  0.000  0.500 (multiplicity 3)
H  0.500  0.500  0.500 (multiplicity 1)

[5]
Material: Rb2CoH
Method: DFT, PBE
State: optimized geometry

Summary:
V ... 39.36 Å³/atom
Spin magnetization ... 8.00 μB per cell
Relative energy among the computed polymorphs ... 0 meV per atom

a = 8.341 Å, b = 8.341 Å, c = 9.053 Å
α = 90.00°, β = 90.00°, γ = 90.00°
Space group I-42d (No. 122)
Symmetry-distinct sites (fractional):
Rb  0.173  0.750  0.125 (multiplicity 8)
Co  0.000  0.000  0.500 (multiplicity 4)
H  0.000  0.000  0.000 (multiplicity 4)

[6]
Material: RbScCoH2
Method: DFT, PBE
State: optimized geometry

Summary:
Electronic total energy ... -2.801 eV per atom
V ... 25.49 Å³/atom
Spin magnetization ... 0.55 μB per cell

a = 4.042 Å, b = 4.042 Å, c = 7.800 Å
α = 90.00°, β = 90.00°, γ = 90.00°
Space group P4/mmm (No. 123)
Symmetry-distinct sites (fractional):
Rb  0.000  0.000  0.000 (multiplicity 1)
Sc  0.000  0.000  0.500 (multiplicity 1)
Co  0.500  0.500  0.500 (multiplicity 1)
H  0.000  0.500  0.000 (multiplicity 2)

[7]
Material: RbZnCoH6
Method: DFT, PBE
State: optimized geometry

Summary:
Electronic total energy ... -3.386 eV per atom
V ... 11.42 Å³/atom
Spin magnetization ... 0.12 μB per cell

a = 4.4746 Å, b = 4.4746 Å, c = 5.9254 Å
α = 90.00°, β = 90.00°, γ = 120.00°
Space group P312 (No. 149)
Symmetry-distinct sites (fractional):
Rb  0.0000  0.0000  0.0000 (multiplicity 1)
Zn  0.3333  0.6667  0.5000 (multiplicity 1)
Co  0.6667  0.3333  0.5000 (multiplicity 1)
H  0.4012  0.0534  0.6597 (multiplicity 6)

[8]
Material: CoRe3H
Method: DFT, PBE
State: optimized geometry

Summary:
V ... 17.04 Å³/atom
Spin magnetization ... 0.00 μB per cell
Relative energy among the computed polymorphs ... 2258 meV per atom

a = 4.400 Å, b = 4.400 Å, c = 4.400 Å
α = 90.00°, β = 90.00°, γ = 90.00°
Space group Pm-3m (No. 221)
Symmetry-distinct sites (fractional):
Co  0.000  0.000  0.000 (multiplicity 1)
Re  0.000  0.000  0.500 (multiplicity 3)
H  0.500  0.500  0.500 (multiplicity 1)

[9]
Material: Co2ReH
Method: DFT, PBE
State: optimized geometry

Summary:
V ... 9.68 Å³/atom
Spin magnetization ... 6.31 μB per cell
Relative energy among the computed polymorphs ... 0 meV per atom

a = 2.6557 Å, b = 2.6557 Å, c = 19.0200 Å
α = 90.00°, β = 90.00°, γ = 120.00°
Space group R-3m (No. 166, hexagonal axes)
Symmetry-distinct sites (fractional):
Co  0.0000  0.0000  0.2221 (multiplicity 6)
Re  0.0000  0.0000  0.0000 (multiplicity 3)
H  0.0000  0.0000  0.5000 (multiplicity 3)

[10]
Material: Co2ReH
Method: DFT, PBE
State: optimized geometry

Summary:
V ... 10.88 Å³/atom
Spin magnetization ... 7.75 μB per cell
Relative energy among the computed polymorphs ... 739 meV per atom

a = 5.583 Å, b = 5.583 Å, c = 5.583 Å
α = 90.00°, β = 90.00°, γ = 90.00°
Space group Fm-3m (No. 225)
Symmetry-distinct sites (fractional):
Co  0.250  0.250  0.250 (multiplicity 8)
Re  0.000  0.000  0.000 (multiplicity 4)
H  0.000  0.000  0.500 (multiplicity 4)

[11]
Material: Co3ReH
Method: DFT, PBE
State: optimized geometry

Summary:
V ... 9.54 Å³/atom
Spin magnetization ... 1.17 μB per cell
Relative energy among the computed polymorphs ... 0 meV per atom

a = 3.627 Å, b = 3.627 Å, c = 3.627 Å
α = 90.00°, β = 90.00°, γ = 90.00°
Space group Pm-3m (No. 221)
Symmetry-distinct sites (fractional):
Co  0.000  0.000  0.500 (multiplicity 3)
Re  0.500  0.500  0.500 (multiplicity 1)
H  0.000  0.000  0.000 (multiplicity 1)

[12]
Material: CoRe2H2
Method: DFT, PBE
State: optimized geometry

Summary:
V ... 9.26 Å³/atom
Spin magnetization ... 1.18 μB per cell
Relative energy among the computed polymorphs ... 44 meV per atom

a = 5.710 Å, b = 5.710 Å, c = 2.842 Å
α = 90.00°, β = 90.00°, γ = 90.00°
Space group P4/mbm (No. 127)
Symmetry-distinct sites (fractional):
Co  0.000  0.000  0.000 (multiplicity 2)
Re  0.150  0.350  0.500 (multiplicity 4)
H  0.189  0.689  0.000 (multiplicity 4)

[13]
Material: CoRe3H
Method: DFT, PBE
State: optimized geometry

Summary:
V ... 11.60 Å³/atom
Spin magnetization ... 0.00 μB per cell
Relative energy among the computed polymorphs ... 0 meV per atom

a = 3.871 Å, b = 3.871 Å, c = 3.871 Å
α = 90.00°, β = 90.00°, γ = 90.00°
Space group Pm-3m (No. 221)
Symmetry-distinct sites (fractional):
Co  0.000  0.000  0.000 (multiplicity 1)
Re  0.000  0.500  0.500 (multiplicity 3)
H  0.500  0.500  0.500 (multiplicity 1)

[14]
Material: Co3ReH
Method: DFT, PBE
State: optimized geometry

Summary:
V ... 17.90 Å³/atom
Spin magnetization ... 2.56 μB per cell
Relative energy among the computed polymorphs ... 1956 meV per atom

a = 4.473 Å, b = 4.473 Å, c = 4.473 Å
α = 90.00°, β = 90.00°, γ = 90.00°
Space group Pm-3m (No. 221)
Symmetry-distinct sites (fractional):
Co  0.000  0.000  0.500 (multiplicity 3)
Re  0.000  0.000  0.000 (multiplicity 1)
H  0.500  0.500  0.500 (multiplicity 1)

[15]
Material: Co2ReH
Method: DFT, PBE
State: optimized geometry

Summary:
V ... 9.86 Å³/atom
Spin magnetization ... 0.00 μB per cell
Relative energy among the computed polymorphs ... 290 meV per atom

a = 5.054 Å, b = 5.054 Å, c = 6.177 Å
α = 90.00°, β = 90.00°, γ = 90.00°
Space group I-42d (No. 122)
Symmetry-distinct sites (fractional):
Co  0.106  0.750  0.125 (multiplicity 8)
Re  0.000  0.000  0.500 (multiplicity 4)
H  0.000  0.000  0.000 (multiplicity 4)

[16]
Material: CoRe2H2
Method: DFT, PBE
State: optimized geometry

Summary:
V ... 9.24 Å³/atom
Spin magnetization ... 2.14 μB per cell
Relative energy among the computed polymorphs ... 0 meV per atom

a = 2.917 Å, b = 2.917 Å, c = 10.854 Å
α = 90.00°, β = 90.00°, γ = 90.00°
Space group I4/mmm (No. 139)
Symmetry-distinct sites (fractional):
Co  0.000  0.000  0.000 (multiplicity 2)
Re  0.000  0.000  0.359 (multiplicity 4)
H  0.000  0.500  0.250 (multiplicity 4)

[17]
Material: Co2ReH
Method: DFT, PBE
State: optimized geometry

Summary:
V ... 9.95 Å³/atom
Spin magnetization ... 0.04 μB per cell
Relative energy among the computed polymorphs ... 253 meV per atom

a = 2.602 Å, b = 2.602 Å, c = 5.877 Å
α = 90.00°, β = 90.00°, γ = 90.00°
Space group P4/mmm (No. 123)
Symmetry-distinct sites (fractional):
Co  0.000  0.000  0.198 (multiplicity 2)
Re  0.500  0.500  0.500 (multiplicity 1)
H  0.500  0.500  0.000 (multiplicity 1)

[18]
Material: Co5Re3H12
Method: DFT, PBE
State: optimized geometry

Summary:
Electronic total energy ... -5.326 eV per atom
V ... 6.81 Å³/atom
Spin magnetization ... 40.98 μB per cell

a = 10.291 Å, b = 10.291 Å, c = 10.291 Å
α = 90.00°, β = 90.00°, γ = 90.00°
Space group Ia-3d (No. 230)
Symmetry-distinct sites (fractional):
Co  0.000  0.000  0.000 (multiplicity 16)
Co  0.000  0.250  0.375 (multiplicity 24)
Re  0.000  0.250  0.125 (multiplicity 24)
H  0.020  0.067  0.648 (multiplicity 96)

[19]
Material: CoReHRh2
Method: DFT, PBE
State: optimized geometry

Summary:
V ... 11.42 Å³/atom
Spin magnetization ... 1.96 μB per cell
Relative energy among the computed polymorphs ... 49 meV per atom

a = 3.819 Å, b = 3.819 Å, c = 3.914 Å
α = 90.00°, β = 90.00°, γ = 90.00°
Space group P4/mmm (No. 123)
Symmetry-distinct sites (fractional):
Co  0.000  0.000  0.000 (multiplicity 1)
Re  0.500  0.500  0.000 (multiplicity 1)
H  0.500  0.500  0.500 (multiplicity 1)
Rh  0.000  0.500  0.500 (multiplicity 2)

[20]
Material: Co2ReHRh
Method: DFT, PBE
State: optimized geometry

Summary:
Electronic total energy ... -7.334 eV per atom
V ... 10.46 Å³/atom
Spin magnetization ... 2.19 μB per cell

a = 3.760 Å, b = 3.760 Å, c = 3.701 Å
α = 90.00°, β = 90.00°, γ = 90.00°
Space group P4/mmm (No. 123)
Symmetry-distinct sites (fractional):
Co  0.000  0.500  0.000 (multiplicity 2)
Re  0.000  0.000  0.500 (multiplicity 1)
H  0.500  0.500  0.000 (multiplicity 1)
Rh  0.500  0.500  0.500 (multiplicity 1)

[21]
Material: CoReHRh2
Method: DFT, PBE
State: optimized geometry

Summary:
V ... 11.26 Å³/atom
Spin magnetization ... 1.95 μB per cell
Relative energy among the computed polymorphs ... 0 meV per atom

a = 3.839 Å, b = 3.839 Å, c = 3.819 Å
α = 90.00°, β = 90.00°, γ = 90.00°
Space group P4/mmm (No. 123)
Symmetry-distinct sites (fractional):
Co  0.000  0.000  0.000 (multiplicity 1)
Re  0.500  0.500  0.000 (multiplicity 1)
H  0.000  0.000  0.500 (multiplicity 1)
Rh  0.000  0.500  0.500 (multiplicity 2)

[22]
Material: CoReHRh2
Method: DFT, PBE
State: optimized geometry

Summary:
V ... 14.23 Å³/atom
Spin magnetization ... 0.14 μB per cell
Relative energy among the computed polymorphs ... 1025 meV per atom

a = 4.756 Å, b = 4.756 Å, c = 3.146 Å
α = 90.00°, β = 90.00°, γ = 90.00°
Space group P4/mmm (No. 123)
Symmetry-distinct sites (fractional):
Co  0.000  0.000  0.000 (multiplicity 1)
Re  0.500  0.500  0.500 (multiplicity 1)
H  0.500  0.500  0.000 (multiplicity 1)
Rh  0.000  0.500  0.500 (multiplicity 2)

[23]
Material: Co2ReHRh
Method: DFT, PBE
State: optimized geometry

Summary:
Electronic total energy ... -7.333 eV per atom
V ... 10.52 Å³/atom
Spin magnetization ... 2.05 μB per cell

a = 3.730 Å, b = 3.730 Å, c = 3.779 Å
α = 90.00°, β = 90.00°, γ = 90.00°
Space group P4/mmm (No. 123)
Symmetry-distinct sites (fractional):
Co  0.000  0.500  0.000 (multiplicity 2)
Re  0.000  0.000  0.500 (multiplicity 1)
H  0.000  0.000  0.000 (multiplicity 1)
Rh  0.500  0.500  0.500 (multiplicity 1)

[24]
Material: CoReHRu2
Method: DFT, PBE
State: optimized geometry

Summary:
V ... 11.20 Å³/atom
Spin magnetization ... 0.00 μB per cell
Relative energy among the computed polymorphs ... 96 meV per atom

a = 3.815 Å, b = 3.815 Å, c = 3.847 Å
α = 90.00°, β = 90.00°, γ = 90.00°
Space group P4/mmm (No. 123)
Symmetry-distinct sites (fractional):
Co  0.000  0.000  0.000 (multiplicity 1)
Re  0.500  0.500  0.000 (multiplicity 1)
H  0.500  0.500  0.500 (multiplicity 1)
Ru  0.000  0.500  0.500 (multiplicity 2)